# 1
Mg3Al7Si4O22, single point on PBEsol structure, DFT meta-GGA SCAN; crystal system = orthorhombic; uncorrected formation energy = -112.89 eV/f.u.; final energy = -0.3667 hartree per atom; space group = Amm2, No. 38
1.0
6.7529 0.0000 0.0000
0.0000 8.0623 6.8780
0.0000 -8.0623 6.8780
Mg Al Si O
6 14 8 44
Cartesian
0.0000 0.0000 0.0000
0.0000 -1.9064 6.6297
0.0000 1.9064 6.6297
3.3765 -1.9656 2.9235
3.3765 1.9656 2.9235
3.3765 0.0000 9.6855
0.0000 -5.0484 6.7257
0.0000 5.0484 6.7257
1.6897 -1.5492 11.7243
1.6897 1.5492 11.7243
1.6973 -3.4441 4.8541
1.6973 3.4441 4.8541
3.3765 -5.0741 7.1060
3.3765 -3.0013 9.7687
3.3765 5.0741 7.1060
3.3765 3.0013 9.7687
5.0556 -3.4441 4.8541
5.0556 3.4441 4.8541
5.0632 -1.5492 11.7243
5.0632 1.5492 11.7243
0.0000 -1.5949 2.8015
0.0000 1.5949 2.8015
0.0000 -2.9085 9.3658
0.0000 0.0000 9.5571
0.0000 2.9085 9.3658
3.3765 0.0000 0.1296
3.3765 -1.5749 6.8666
3.3765 1.5749 6.8666
0.0000 -3.6335 5.4329
0.0000 -6.3973 8.0158
0.0000 0.0000 3.0999
0.0000 -3.7638 8.0309
0.0000 0.0000 6.1279
0.0000 -1.3606 8.6693
0.0000 3.6335 5.4329
0.0000 1.3606 8.6693
0.0000 -1.5329 12.3206
0.0000 3.7638 8.0309
0.0000 6.3973 8.0158
0.0000 1.5329 12.3206
1.3419 -2.2859 3.4421
1.3419 2.2859 3.4421
1.3563 -2.9155 10.3207
1.3556 0.0000 10.4765
1.3563 2.9155 10.3207
1.9102 -5.0898 6.0918
1.9102 5.0898 6.0918
2.0357 -2.2795 6.2514
2.0357 2.2795 6.2514
2.0404 0.0000 12.9011
3.3765 -3.7032 4.2432
3.3765 -6.7071 7.8496
3.3765 0.0000 3.5031
3.3765 -4.2690 8.5845
3.3765 0.0000 6.5010
3.3765 -1.6109 8.5207
3.3765 3.7032 4.2432
3.3765 -1.5864 11.0663
3.3765 1.6109 8.5207
3.3765 4.2690 8.5845
3.3765 1.5864 11.0663
3.3765 6.7071 7.8496
4.7125 0.0000 12.9011
4.7173 -2.2795 6.2514
4.7173 2.2795 6.2514
4.8427 -5.0898 6.0918
4.8427 5.0898 6.0918
5.3967 -2.9155 10.3207
5.3973 0.0000 10.4765
5.3967 2.9155 10.3207
5.4110 -2.2859 3.4421
5.4110 2.2859 3.4421

=====

# 2
Mg30TiAlO32, single point on PBEsol structure, DFT meta-GGA SCAN; density of states at the Fermi level = 8.29 states/eV/cell; crystal system = tetragonal; uncorrected formation energy = -188.38 eV/f.u.; final energy = -0.3220 hartree per atom; space group = P4/mmm, No. 123
1.0
8.4603 0.0000 0.0000
0.0000 8.4603 0.0000
0.0000 0.0000 8.4545
Mg Ti Al O
30 1 1 32
Cartesian
0.0000 0.0000 0.0000
0.0000 2.1095 2.1138
0.0000 2.1095 6.3407
0.0000 4.2301 0.0000
0.0000 4.2301 4.2272
0.0000 6.3508 2.1138
0.0000 6.3508 6.3407
2.1008 2.1008 4.2272
2.1008 6.3595 4.2272
2.1095 0.0000 2.1138
2.1095 0.0000 6.3407
2.1094 2.1094 0.0000
2.1073 4.2301 2.1097
2.1073 4.2301 6.3448
2.1094 6.3509 0.0000
4.2301 0.0000 0.0000
4.2301 0.0000 4.2272
4.2301 2.1073 2.1097
4.2301 2.1073 6.3448
4.2301 4.2301 0.0000
4.2301 6.3529 2.1097
4.2301 6.3529 6.3448
6.3508 0.0000 2.1138
6.3508 0.0000 6.3407
6.3509 2.1094 0.0000
6.3529 4.2301 2.1097
6.3529 4.2301 6.3448
6.3509 6.3509 0.0000
6.3595 2.1008 4.2272
6.3595 6.3595 4.2272
0.0000 0.0000 4.2272
4.2301 4.2301 4.2272
0.0000 0.0000 2.0419
0.0000 0.0000 6.4126
0.0000 2.1315 0.0000
0.0000 2.2206 4.2272
0.0000 4.2301 2.1202
0.0000 4.2301 6.3342
0.0000 6.2397 4.2272
0.0000 6.3288 0.0000
2.1203 2.1203 2.1164
2.1203 2.1203 6.3381
2.1203 6.3400 2.1164
2.1203 6.3400 6.3381
2.1315 0.0000 0.0000
2.1393 4.2301 0.0000
2.2206 0.0000 4.2272
2.2582 4.2301 4.2272
4.2301 0.0000 2.1202
4.2301 0.0000 6.3342
4.2301 2.1393 0.0000
4.2301 2.2582 4.2272
4.2301 4.2301 2.2351
4.2301 4.2301 6.2194
4.2301 6.2021 4.2272
4.2301 6.3210 0.0000
6.2021 4.2301 4.2272
6.2397 0.0000 4.2272
6.3210 4.2301 0.0000
6.3288 0.0000 0.0000
6.3400 2.1203 2.1164
6.3400 2.1203 6.3381
6.3400 6.3400 2.1164
6.3400 6.3400 6.3381

=====

# 3
MgAlOs, single point on PBEsol structure, DFT meta-GGA SCAN; energy of formation from the pure elements = 0.8240 eV per atom; density of states at the Fermi level = 2.79 states/eV/cell; crystal system = cubic; final energy = -1.0061 hartree per atom; space group = F-43m, No. 216
1.0
0.0000 2.9705 2.9705
2.9705 0.0000 2.9705
2.9705 2.9705 0.0000
Mg Al Os
1 1 1
Cartesian
0.0000 0.0000 0.0000
4.4557 4.4557 4.4557
1.4852 1.4852 1.4852

=====

# 4
MgAlOs2, single point on PBEsol structure, DFT meta-GGA SCAN; energy of formation from the pure elements = -0.0341 eV per atom; density of states at the Fermi level = 2.94 states/eV/cell; crystal system = monoclinic; final energy = -1.4389 hartree per atom; space group = C2/m, No. 12
1.0
4.3740 -1.4133 0.0000
4.3740 1.4133 0.0000
-1.0608 0.0000 4.7323
Mg Al Os
1 1 2
Cartesian
0.0000 0.0000 0.0000
3.8436 0.0000 2.3661
1.3126 0.0000 3.4530
6.3746 0.0000 1.2793

=====

# 5
MgAlOs2, single point on PBEsol structure, DFT meta-GGA SCAN; energy of formation from the pure elements = 0.0704 eV per atom; density of states at the Fermi level = 4.22 states/eV/cell; crystal system = orthorhombic; final energy = -1.4351 hartree per atom; space group = Cmmm, No. 65
1.0
2.7056 -3.8717 0.0000
2.7056 3.8717 0.0000
0.0000 0.0000 2.7678
Mg Al Os
1 1 2
Cartesian
0.0000 0.0000 0.0000
2.7056 0.0000 0.0000
1.3528 1.9359 1.3839
1.3528 -1.9359 1.3839

=====

# 6
MgAlOs2, single point on PBEsol structure, DFT meta-GGA SCAN; energy of formation from the pure elements = 0.2971 eV per atom; density of states at the Fermi level = 3.09 states/eV/cell; crystal system = orthorhombic; final energy = -1.4268 hartree per atom; space group = Cmm2, No. 35
1.0
1.4452 -2.3263 0.0000
1.4452 2.3263 0.0000
0.0000 0.0000 9.0388
Mg Al Os
1 1 2
Cartesian
0.0000 0.0000 0.0000
1.4452 0.0000 2.5000
0.0000 0.0000 4.5686
1.4452 0.0000 6.7830

=====

# 7
Sr2MgAlOs, single point on PBEsol structure, DFT meta-GGA SCAN; energy of formation from the pure elements = 0.5790 eV per atom; density of states at the Fermi level = 2.97 states/eV/cell; crystal system = tetragonal; final energy = -0.9280 hartree per atom; space group = P4/mmm, No. 123
1.0
5.6194 0.0000 0.0000
0.0000 5.6194 0.0000
0.0000 0.0000 5.0565
Sr Mg Al Os
2 1 1 1
Cartesian
0.0000 2.8097 0.0000
2.8097 0.0000 0.0000
0.0000 0.0000 2.5283
2.8097 2.8097 2.5283
0.0000 0.0000 0.0000

=====

# 8
Mg2AlP, single point on PBEsol structure, DFT meta-GGA SCAN; energy above the lowest structure with this stoichiometry = 0.0 kJ/mol of atoms; energy of formation from the pure elements = -0.0660 eV per atom; density of states at the Fermi level = 1.73 states/eV/cell; crystal system = tetragonal; final energy = -0.2606 hartree per atom; space group = P4mm, No. 99
1.0
3.3551 0.0000 0.0000
0.0000 3.3551 0.0000
0.0000 0.0000 6.6316
Mg Al P
2 1 1
Cartesian
0.0000 0.0000 0.0000
1.6776 1.6776 2.0523
1.6776 1.6776 4.8085
0.0000 0.0000 3.8762

=====

# 9
MgAlP2, single point on PBEsol structure, DFT meta-GGA SCAN; energy above the lowest structure with this stoichiometry = 0.0 kJ/mol of atoms; energy of formation from the pure elements = -0.3217 eV per atom; density of states at the Fermi level = 2.14 states/eV/cell; crystal system = orthorhombic; final energy = -0.3198 hartree per atom; space group = Pmmm, No. 47
1.0
3.6275 0.0000 0.0000
0.0000 3.6397 0.0000
0.0000 0.0000 5.1449
Mg Al P
1 1 2
Cartesian
0.0000 0.0000 0.0000
1.8137 1.8198 2.5725
0.0000 0.0000 2.5725
1.8137 1.8198 0.0000

=====

# 10
MgAlP2, single point on PBEsol structure, DFT meta-GGA SCAN; energy above the lowest structure with this stoichiometry = 35.0 kJ/mol of atoms; energy of formation from the pure elements = 0.0412 eV per atom; density of states at the Fermi level = 1.50 states/eV/cell; crystal system = tetragonal; final energy = -0.3065 hartree per atom; space group = I4/mmm, No. 139
1.0
-2.1398 2.1398 3.4434
2.1398 -2.1398 3.4434
2.1398 2.1398 -3.4434
Mg Al P
1 1 2
Cartesian
0.0000 0.0000 0.0000
0.0000 0.0000 3.4434
2.1398 0.0000 1.7217
0.0000 2.1398 1.7217

=====

# 11
Mg2AlP, single point on PBEsol structure, DFT meta-GGA SCAN; energy above the lowest structure with this stoichiometry = 14.2 kJ/mol of atoms; energy of formation from the pure elements = 0.0809 eV per atom; density of states at the Fermi level = 1.64 states/eV/cell; crystal system = cubic; final energy = -0.2552 hartree per atom; space group = Fm-3m, No. 225
1.0
0.0000 3.3289 3.3289
3.3289 0.0000 3.3289
3.3289 3.3289 0.0000
Mg Al P
2 1 1
Cartesian
1.6644 1.6644 1.6644
4.9933 4.9933 4.9933
0.0000 0.0000 0.0000
3.3289 3.3289 3.3289

=====

# 12
MgAlP2, single point on PBEsol structure, DFT meta-GGA SCAN; energy above the lowest structure with this stoichiometry = 24.4 kJ/mol of atoms; energy of formation from the pure elements = -0.0690 eV per atom; density of states at the Fermi level = 1.36 states/eV/cell; crystal system = orthorhombic; final energy = -0.3105 hartree per atom; space group = Immm, No. 71
1.0
-1.8275 2.5412 3.5920
1.8275 -2.5412 3.5920
1.8275 2.5412 -3.5920
Mg Al P
1 1 2
Cartesian
0.0000 0.0000 0.0000
0.0000 0.0000 3.5920
1.8275 0.0000 1.9943
0.0000 2.5412 1.5977

=====

# 13
MgAlP2, single point on PBEsol structure, DFT meta-GGA SCAN; energy above the lowest structure with this stoichiometry = 29.6 kJ/mol of atoms; energy of formation from the pure elements = -0.0151 eV per atom; density of states at the Fermi level = 1.58 states/eV/cell; crystal system = tetragonal; final energy = -0.3085 hartree per atom; space group = P4/mmm, No. 123
1.0
3.3179 0.0000 0.0000
0.0000 3.3179 0.0000
0.0000 0.0000 5.7509
Mg Al P
1 1 2
Cartesian
0.0000 0.0000 0.0000
0.0000 0.0000 2.8754
1.6589 1.6589 1.5921
1.6589 1.6589 4.1588

=====

# 14
Mg2AlPb, single point on PBEsol structure, DFT meta-GGA SCAN; energy of formation from the pure elements = -0.0462 eV per atom; density of states at the Fermi level = 1.58 states/eV/cell; crystal system = tetragonal; final energy = -0.8605 hartree per atom; space group = P4/mmm, No. 123
1.0
4.5326 0.0000 0.0000
0.0000 4.5326 0.0000
0.0000 0.0000 4.3052
Mg Al Pb
2 1 1
Cartesian
0.0000 2.2663 0.0000
2.2663 0.0000 0.0000
0.0000 0.0000 2.1526
2.2663 2.2663 2.1526

=====

# 15
Mg2Al2Pb, single point on PBEsol structure, DFT meta-GGA SCAN; energy of formation from the pure elements = 0.0588 eV per atom; density of states at the Fermi level = 3.93 states/eV/cell; crystal system = tetragonal; final energy = -0.7419 hartree per atom; space group = P4/mbm, No. 127
1.0
8.2781 0.0000 0.0000
0.0000 8.2781 0.0000
0.0000 0.0000 3.1575
Mg Al Pb
4 4 2
Cartesian
1.5023 2.6368 0.0000
2.6368 6.7758 0.0000
5.6413 1.5023 0.0000
6.7758 5.6413 0.0000
0.9473 5.0864 1.5787
3.1917 0.9473 1.5787
5.0864 7.3307 1.5787
7.3307 3.1917 1.5787
0.0000 0.0000 1.5787
4.1390 4.1390 1.5787

=====

# 16
Mg2AlPb, single point on PBEsol structure, DFT meta-GGA SCAN; energy of formation from the pure elements = -0.0015 eV per atom; density of states at the Fermi level = 1.77 states/eV/cell; crystal system = trigonal; final energy = -0.8589 hartree per atom; space group = R-3m, No. 166
1.0
1.6400 0.9468 9.7390
-1.6400 0.9468 9.7390
0.0000 -1.8937 9.7390
Mg Al Pb
2 1 1
Cartesian
0.0000 0.0000 7.1305
0.0000 0.0000 22.0864
0.0000 0.0000 14.6085
0.0000 0.0000 0.0000

=====

# 17
Mg2AlPb, single point on PBEsol structure, DFT meta-GGA SCAN; energy of formation from the pure elements = -0.0231 eV per atom; density of states at the Fermi level = 1.55 states/eV/cell; crystal system = tetragonal; final energy = -0.8597 hartree per atom; space group = I-4m2, No. 119
1.0
-2.1917 2.1917 4.6453
2.1917 -2.1917 4.6453
2.1917 2.1917 -4.6453
Mg Al Pb
2 1 1
Cartesian
0.0000 0.0000 0.0000
0.0000 2.1917 2.3227
2.1917 0.0000 2.3227
0.0000 0.0000 4.6453

=====

# 18
Mg2AlPb, single point on PBEsol structure, DFT meta-GGA SCAN; energy of formation from the pure elements = -0.0142 eV per atom; density of states at the Fermi level = 1.66 states/eV/cell; crystal system = monoclinic; final energy = -0.8594 hartree per atom; space group = C2/m, No. 12
1.0
4.9000 -1.6263 0.0000
4.9000 1.6263 0.0000
-1.0953 0.0000 5.6474
Mg Al Pb
2 1 1
Cartesian
2.1380 0.0000 1.2955
6.5667 0.0000 4.3519
4.9000 0.0000 0.0000
-0.5476 0.0000 2.8237

=====

# 19
Mg2AlPb, single point on PBEsol structure, DFT meta-GGA SCAN; energy of formation from the pure elements = -0.0359 eV per atom; density of states at the Fermi level = 1.63 states/eV/cell; crystal system = orthorhombic; final energy = -0.8602 hartree per atom; space group = Pmmm, No. 47
1.0
3.2334 0.0000 0.0000
0.0000 4.2078 0.0000
0.0000 0.0000 6.5360
Mg Al Pb
2 1 1
Cartesian
0.0000 0.0000 1.4970
0.0000 0.0000 5.0390
1.6167 2.1039 0.0000
1.6167 2.1039 3.2680

=====

# 20
Mg2AlPb, single point on PBEsol structure, DFT meta-GGA SCAN; energy of formation from the pure elements = -0.0406 eV per atom; density of states at the Fermi level = 1.65 states/eV/cell; crystal system = tetragonal; final energy = -0.8603 hartree per atom; space group = I4/mmm, No. 139
1.0
-2.2660 2.2660 4.3095
2.2660 -2.2660 4.3095
2.2660 2.2660 -4.3095
Mg Al Pb
2 1 1
Cartesian
2.2660 0.0000 2.1548
0.0000 2.2660 2.1548
0.0000 0.0000 0.0000
0.0000 0.0000 4.3095